Density functional theory data (PBE-GGA) for a relaxed AcPm6Pr4 crystal.

Formation energy   0.2999 eV per atom
SG   I-42m (121)
Spin magnetization   0.0 μB per formula unit
Total energy   -4.403 eV/atom
Energy above the lowest structure with this stoichiometry   0 meV per atom

Unit cell a=10.0245 b=10.0245 c=10.0245 alpha=140.26 beta=140.26 gamma=57.46
With the nearest neighbours (Å) after each atom.
Atoms (fractional coordinates):
Ac1 0.0000 0.0000 0.0000  8 Pm 3.41-3.80, 4 Pr 3.67
Pm1 0.0000 0.5000 0.5000  4 Pm 3.33, 2 Ac 3.41
Pm2 0.1976 0.5531 0.0000  3 Pm 3.33-3.43, 3 Pr 3.43-3.57
Pm3 0.4469 0.4469 0.6444  3 Pm 3.33-3.43, 3 Pr 3.43-3.57
Pm4 0.5000 0.0000 0.5000  4 Pm 3.33, 2 Ac 3.41
Pm5 0.5531 0.1976 0.0000  3 Pm 3.33-3.43, 3 Pr 3.43-3.57
Pm6 0.8024 0.8024 0.3556  3 Pm 3.33-3.43, 3 Pr 3.43-3.57
Pr1 0.0113 0.0113 0.3834  5 Pm 3.43-3.74, 1 Ac 3.67, 1 Pr 3.69
Pr2 0.3721 0.9887 0.0000  5 Pm 3.43-3.74, 1 Ac 3.67, 1 Pr 3.69
Pr3 0.6279 0.6279 0.6166  5 Pm 3.43-3.74, 1 Ac 3.67, 1 Pr 3.69
Pr4 0.9887 0.3721 0.0000  5 Pm 3.43-3.74, 1 Ac 3.67, 1 Pr 3.69


Density functional theory data (PBE-GGA) for a relaxed BeTe2RuI crystal.

SG   P4/mmm (123)
Spin magnetization   2.3 μB per formula unit
Total energy   -3.148 eV/atom
Formation energy without anion corrections   98 kJ per mole of atoms
Energy above the lowest structure with this stoichiometry   117 meV per atom

Unit cell a=4.9457 b=4.9457 c=5.0701 alpha=90.00 beta=90.00 gamma=90.00
With the nearest neighbours (Å) after each atom.
Atoms (fractional coordinates):
Be1 0.0000 0.0000 0.0000  4 Te 2.47, 2 I 2.54
Te1 0.0000 0.5000 0.0000  2 Be 2.47
Te2 0.5000 0.0000 0.0000  2 Be 2.47
Ru1 0.5000 0.5000 0.5000  4 I 3.50, 8 Te 3.54
I1 0.0000 0.0000 0.5000  2 Be 2.54


Density functional theory data (PBE-GGA) for a relaxed ScFeSn3 crystal.

Formation energy   0.9298 eV per atom
SG   Pm-3m (221)
Spin magnetization   4.0 μB per formula unit
Total energy   -4.431 eV/atom
Energy above the lowest structure with this stoichiometry   730 meV per atom

Unit cell a=5.4534 b=5.4534 c=5.4534 alpha=90.00 beta=90.00 gamma=90.00
With the nearest neighbours (Å) after each atom.
Atoms (fractional coordinates):
Sc1 0.0000 0.0000 0.0000  6 Sn 2.73
Fe1 0.5000 0.5000 0.5000  12 Sn 3.86
Sn1 0.0000 0.0000 0.5000  2 Sc 2.73
Sn2 0.0000 0.5000 0.0000  2 Sc 2.73
Sn3 0.5000 0.0000 0.0000  2 Sc 2.73


Density functional theory data (PBE-GGA) for a relaxed CuMo2HIr crystal.

SG   P4/mmm (123)
Spin magnetization   0.0 μB per formula unit
Total energy   -7.480 eV/atom

Unit cell a=3.8953 b=3.8953 c=3.9969 alpha=90.00 beta=90.00 gamma=90.00
With the nearest neighbours (Å) after each atom.
Atoms (fractional coordinates):
Cu1 0.0000 0.0000 0.0000  2 H 2.00
Mo1 0.0000 0.5000 0.5000  2 H 1.95
Mo2 0.5000 0.0000 0.5000  2 H 1.95
H1 0.0000 0.0000 0.5000  4 Mo 1.95, 2 Cu 2.00
Ir1 0.5000 0.5000 0.0000  4 Cu 2.75, 8 Mo 2.79